{
  "formula": "TiAg2Hg",
  "functional": "PBE-GGA",
  "state": "optimized geometry",
  "lattice_angstrom": [[2.9827, 0.0000, 0.0000], [-1.4914, 2.5831, 0.0000], [0.0000, 0.0000, 29.6085]],
  "species": ["Ti", "Ti", "Ti", "Ag", "Ag", "Ag", "Ag", "Ag", "Ag", "Hg", "Hg", "Hg"],
  "frac_coords": [[0.0000, 0.0000, 0.0000], [0.3333, 0.6667, 0.6667], [0.6667, 0.3333, 0.3333], [0.0000, 0.0000, 0.4120], [0.0000, 0.0000, 0.5881], [0.3333, 0.6667, 0.0787], [0.3333, 0.6667, 0.2548], [0.6667, 0.3333, 0.7453], [0.6667, 0.3333, 0.9215], [0.0000, 0.0000, 0.1669], [0.3333, 0.6667, 0.8336], [0.6667, 0.3333, 0.5003]],
  "total_energy_ev_per_atom": -3.36
}